[1]
PBE Sc2InIr, optimized geometry; calculated density = 8.07 g cm⁻³; E_tot = -6.445 eV/atom; DOS at the Fermi energy = 3.8 states/eV/cell; volume = 20.427 A^3/atom; M_tot = 0.0 μB/f.u.; energy relative to the elements = -1.52 eV per formula unit
1.0
-1.302 -2.612 -1.252
1.090 -2.233 3.524
-5.228 1.405 2.507
Ir In Sc
1 1 2
Direct
0.500 0.500 0.811
0.000 0.000 0.482
0.000 0.000 0.958
0.500 0.500 0.249

---

[2]
PBE RbTiRhS2, optimized geometry; calculated density = 4.25 g cm⁻³; E_tot = -4.189 eV/atom; E_form (uncorrected) = 705 meV per atom; DOS at the Fermi energy = 3.7 states/eV/cell; volume = 23.477 A^3/atom; M_tot = 0.1 μB/f.u.
1.0
4.851 0.000 0.000
0.000 4.987 0.000
0.000 0.000 4.851
Rh S Rb Ti
1 2 1 1
Direct
0.000 0.000 0.000
0.000 0.000 0.500
0.500 0.000 0.000
0.000 0.500 0.000
0.500 0.500 0.500

---

[3]
PBE Na6Cd2Hg, optimized geometry; calculated density = 3.42 g cm⁻³; E_tot = -1.197 eV/atom; DOS at the Fermi energy = 5.0 states/eV/cell; volume = 30.411 A^3/atom; M_tot = 0.0 μB/f.u.; energy relative to the elements = -0.72 eV per formula unit
1.0
5.494 0.000 0.000
2.747 4.758 0.000
2.747 1.586 10.470
Na Cd Hg
6 2 1
Direct
0.578 0.578 0.266
0.808 0.808 0.577
0.697 0.697 0.909
0.303 0.303 0.091
0.422 0.422 0.734
0.192 0.192 0.423
0.909 0.909 0.274
0.091 0.091 0.726
0.000 0.000 0.000

---

[4]
PBE KAg2GeS4, optimized geometry; calculated density = 4.05 g cm⁻³; E_tot = -3.928 eV/atom; E_form (uncorrected) = -437 meV per atom; DOS at the Fermi energy = 3.4 states/eV/cell; volume = 23.355 A^3/atom; M_tot = 0.0 μB/f.u.
1.0
-1.960 -4.444 -3.988
1.147 -3.570 5.044
-4.105 4.661 0.961
S Ge Ag K
4 1 2 1
Direct
0.963 0.349 0.000
0.349 0.963 0.000
0.037 0.037 0.385
0.651 0.651 0.615
0.000 0.000 0.000
0.250 0.750 0.500
0.750 0.250 0.500
0.500 0.500 0.000

---

[5]
PBE TePS2I, optimized geometry; calculated density = 4.34 g cm⁻³; E_tot = -2.505 eV/atom; E_form (uncorrected) = 1166 meV per atom; DOS at the Fermi energy = 4.6 states/eV/cell; volume = 26.769 A^3/atom; M_tot = 0.0 μB/f.u.; energy above the lowest structure with this stoichiometry = 0.305 eV/atom
1.0
-0.931 -4.333 -2.293
4.656 -1.511 0.966
-1.652 -2.111 4.660
S I Te P
2 1 1 1
Direct
0.500 0.000 0.000
0.000 0.500 0.000
0.000 0.000 0.000
0.500 0.500 0.500
0.000 0.000 0.500

---

[6]
PBE LaSmBiI, optimized geometry; calculated density = 8.37 g cm⁻³; E_tot = -4.667 eV/atom; E_form (uncorrected) = -897 meV per atom; DOS at the Fermi energy = 3.7 states/eV/cell; volume = 31.008 A^3/atom; M_tot = 0.2 μB/f.u.
1.0
-5.138 -1.172 1.888
-1.953 -5.239 -0.270
-0.645 -2.992 4.687
I La Bi Sm
1 1 1 1
Direct
0.000 0.000 0.000
0.750 0.750 0.750
0.500 0.500 0.500
0.250 0.250 0.250

---

[7]
PBE HoBiIrO6, optimized geometry; calculated density = 8.67 g cm⁻³; E_tot = -6.801 eV/atom; E_form (uncorrected) = -1571 meV per atom; DOS at the Fermi energy = 12.7 states/eV/cell; volume = 14.089 A^3/atom; M_tot = 1.3 μB/f.u.
1.0
-2.049 3.416 3.842
-3.427 -2.818 -3.308
-0.172 -7.189 6.301
O Ir Ho Bi
12 2 2 2
Direct
0.625 0.662 0.634
0.662 0.037 0.366
0.625 0.963 0.866
0.963 0.338 0.134
0.375 0.037 0.134
0.338 0.963 0.634
0.037 0.662 0.866
0.662 0.625 0.134
0.338 0.375 0.866
0.375 0.338 0.366
0.963 0.625 0.366
0.037 0.375 0.634
0.333 0.667 0.750
0.667 0.333 0.250
0.667 0.333 0.750
0.333 0.667 0.250
0.000 0.000 0.000
0.000 0.000 0.500

---

[8]
PBE DyPbI, optimized geometry; calculated density = 7.89 g cm⁻³; E_tot = -3.758 eV/atom; E_form (uncorrected) = -472 meV per atom; DOS at the Fermi energy = 9.4 states/eV/cell; volume = 34.833 A^3/atom; M_tot = 0.0 μB/f.u.
1.0
6.171 0.000 0.663
0.000 8.854 0.000
-2.134 0.000 7.420
Pb Dy I
4 4 4
Direct
0.427 0.642 0.812
0.573 0.358 0.188
0.073 0.142 0.188
0.927 0.858 0.812
0.760 0.119 0.487
0.740 0.619 0.513
0.240 0.881 0.513
0.260 0.381 0.487
0.452 0.129 0.759
0.048 0.629 0.241
0.952 0.371 0.759
0.548 0.871 0.241